(1)
First-principles (GGA-PBE) data for a relaxed SrErZn2 crystal, as listed in Alexandria via LeMat-Bulk.

As for the formation energy: -0.1 eV per formula unit. The total moment comes out at 0.00 μB/f.u. Its crystal system is trigonal. The symmetry is R-3m (166). The total energy comes out at -8.87 eV per cell.

Cell: 8.8841 8.8841 8.8841 Å, 25.61 25.61 25.61°
Fractional positions:
Sr: 0.0000 0.0000 0.0000
Er: 0.5000 0.5000 0.5000
Zn: 0.2410 0.2410 0.2410
Zn: 0.7590 0.7590 0.7590


(2)
First-principles (GGA-PBE) data for a relaxed SrEr2Zn crystal, as listed in Alexandria via LeMat-Bulk.

As for the formation energy: -0.2 eV per formula unit. The total moment comes out at 0.00 μB/f.u. Its crystal system is tetragonal. The value obtained for the polymorph energy (0 for the lowest one) is 0.0 meV/atom. The symmetry is P4/mmm (123). The total energy comes out at -12.29 eV per cell.

Cell: 3.6361 3.6361 9.3565 Å, 90.00 90.00 90.00°
Fractional positions:
Sr: 0.0000 0.0000 0.0000
Er: 0.5000 0.5000 0.3228
Er: 0.5000 0.5000 0.6772
Zn: 0.0000 0.0000 0.5000


(3)
First-principles (GGA-PBE) data for a relaxed SrErZn crystal, as listed in Alexandria via LeMat-Bulk.

As for the formation energy: -0.3 eV per formula unit. The total moment comes out at 0.00 μB/f.u. Its crystal system is tetragonal. The value obtained for the polymorph energy (0 for the lowest one) is 0.0 meV/atom. The symmetry is P4/nmm (129). The total energy comes out at -15.73 eV per cell.

Cell: 4.9384 4.9384 7.8521 Å, 90.00 90.00 90.00°
Fractional positions:
Sr: 0.2500 0.2500 0.1354
Sr: 0.7500 0.7500 0.8646
Er: 0.2500 0.7500 0.5000
Er: 0.7500 0.2500 0.5000
Zn: 0.2500 0.2500 0.7137
Zn: 0.7500 0.7500 0.2863


(4)
First-principles (GGA-PBE) data for a relaxed SrErZn2 crystal, as listed in Alexandria via LeMat-Bulk.

As for the formation energy: -1.0 eV per formula unit. The total moment comes out at 0.00 μB/f.u. Its crystal system is tetragonal. The symmetry is P4/mmm (123). The total energy comes out at -9.82 eV per cell.

Cell: 3.7159 3.7159 7.3889 Å, 90.00 90.00 90.00°
Fractional positions:
Sr: 0.0000 0.0000 0.0000
Er: 0.0000 0.0000 0.5000
Zn: 0.5000 0.5000 0.2940
Zn: 0.5000 0.5000 0.7060